Record 1
# Cr3Ga4 | Alexandria via LeMat-Bulk | PBEsol | relaxed
# crystal system = monoclinic
# DOS(E_F) = 13.52 states/eV per cell
# energy relative to the elements = -0.0610 eV/atom
# calculated volume = 13.6 Å³/atom
# density = 7.6 g cm⁻³
data_Cr3Ga4
_chemical_formula_sum 'Cr9 Ga12'
_cell_length_a 6.276
_cell_length_b 6.276
_cell_length_c 7.751
_cell_angle_alpha 101.67
_cell_angle_beta 101.67
_cell_angle_gamma 75.83
_symmetry_space_group_name_H-M 'P 1'
_symmetry_Int_Tables_number 1
loop_
_symmetry_equiv_pos_as_xyz
'x,y,z'
loop_
_atom_site_label
_atom_site_fract_x
_atom_site_fract_y
_atom_site_fract_z
Cr1 0.000 0.000 0.000
Cr2 0.043 0.669 0.145
Cr3 0.229 0.229 0.661
Cr4 0.331 0.957 0.855
Cr5 0.495 0.495 0.666
Cr6 0.505 0.505 0.334
Cr7 0.669 0.043 0.145
Cr8 0.771 0.771 0.339
Cr9 0.957 0.331 0.855
Ga1 0.049 0.049 0.353
Ga2 0.154 0.542 0.442
Ga3 0.188 0.610 0.846
Ga4 0.285 0.285 0.096
Ga5 0.390 0.812 0.154
Ga6 0.458 0.846 0.558
Ga7 0.542 0.154 0.442
Ga8 0.610 0.188 0.846
Ga9 0.715 0.715 0.904
Ga10 0.812 0.390 0.154
Ga11 0.846 0.458 0.558
Ga12 0.951 0.951 0.647


Record 2
# CrGaGe3 | Alexandria via LeMat-Bulk | PBEsol | relaxed
# crystal system = cubic
# DOS(E_F) = 2.58 states/eV per cell
# energy relative to the elements = 0.2667 eV/atom
# calculated volume = 19.5 Å³/atom
# density = 5.8 g cm⁻³
data_CrGaGe3
_chemical_formula_sum 'Cr1 Ga1 Ge3'
_cell_length_a 4.605
_cell_length_b 4.605
_cell_length_c 4.605
_cell_angle_alpha 90.00
_cell_angle_beta 90.00
_cell_angle_gamma 90.00
_symmetry_space_group_name_H-M 'P 1'
_symmetry_Int_Tables_number 1
loop_
_symmetry_equiv_pos_as_xyz
'x,y,z'
loop_
_atom_site_label
_atom_site_fract_x
_atom_site_fract_y
_atom_site_fract_z
Cr1 0.000 0.000 0.000
Ga1 0.500 0.500 0.500
Ge1 0.000 0.000 0.500
Ge2 0.000 0.500 0.000
Ge3 0.500 0.000 0.000


Record 3
# CrGaH2 | Alexandria via LeMat-Bulk | PBEsol | relaxed
# crystal system = cubic
# DOS(E_F) = 5.21 states/eV per cell
# calculated volume = 8.3 Å³/atom
# density = 6.2 g cm⁻³
# DFT total energy = -71.20 eV for the cell shown
data_CrGaH2
_chemical_formula_sum 'Cr4 Ga4 H8'
_cell_length_a 5.102
_cell_length_b 5.102
_cell_length_c 5.102
_cell_angle_alpha 90.00
_cell_angle_beta 90.00
_cell_angle_gamma 90.00
_symmetry_space_group_name_H-M 'P 1'
_symmetry_Int_Tables_number 1
loop_
_symmetry_equiv_pos_as_xyz
'x,y,z'
loop_
_atom_site_label
_atom_site_fract_x
_atom_site_fract_y
_atom_site_fract_z
Cr1 0.000 0.000 0.000
Cr2 0.000 0.500 0.500
Cr3 0.500 0.000 0.500
Cr4 0.500 0.500 0.000
Ga1 0.000 0.000 0.500
Ga2 0.000 0.500 0.000
Ga3 0.500 0.000 0.000
Ga4 0.500 0.500 0.500
H1 0.250 0.250 0.250
H2 0.250 0.250 0.750
H3 0.250 0.750 0.250
H4 0.250 0.750 0.750
H5 0.750 0.250 0.250
H6 0.750 0.250 0.750
H7 0.750 0.750 0.250
H8 0.750 0.750 0.750


Record 4
# CrGaMo6H38O40 | Alexandria via LeMat-Bulk | PBEsol | relaxed
# crystal system = triclinic
# calculated volume = 9.5 Å³/atom
# density = 2.8 g cm⁻³
# DFT total energy = -536.87 eV for the cell shown
data_CrGaMo6H38O40
_chemical_formula_sum 'Cr1 Ga1 Mo6 H38 O40'
_cell_length_a 6.806
_cell_length_b 11.190
_cell_length_c 11.372
_cell_angle_alpha 101.18
_cell_angle_beta 101.59
_cell_angle_gamma 98.75
_symmetry_space_group_name_H-M 'P 1'
_symmetry_Int_Tables_number 1
loop_
_symmetry_equiv_pos_as_xyz
'x,y,z'
loop_
_atom_site_label
_atom_site_fract_x
_atom_site_fract_y
_atom_site_fract_z
Cr1 0.000 0.000 0.000
Ga1 0.000 0.500 0.500
Mo1 0.008 0.303 0.080
Mo2 0.355 0.179 0.237
Mo3 0.357 0.884 0.154
Mo4 0.643 0.116 0.846
Mo5 0.645 0.821 0.763
Mo6 0.992 0.697 0.920
H1 0.021 0.301 0.817
H2 0.023 0.599 0.318
H3 0.036 0.297 0.348
H4 0.045 0.972 0.236
H5 0.088 0.755 0.557
H6 0.096 0.165 0.694
H7 0.130 0.022 0.630
H8 0.139 0.911 0.461
H9 0.238 0.364 0.792
H10 0.257 0.587 0.386
H11 0.290 0.912 0.906
H12 0.300 0.168 0.984
H13 0.343 0.581 0.665
H14 0.347 0.899 0.552
H15 0.361 0.443 0.585
H16 0.405 0.528 0.127
H17 0.464 0.270 0.538
H18 0.496 0.655 0.314
H19 0.499 0.667 0.119
H20 0.501 0.333 0.881
H21 0.504 0.345 0.686
H22 0.536 0.730 0.462
H23 0.595 0.472 0.873
H24 0.639 0.557 0.415
H25 0.653 0.101 0.448
H26 0.657 0.419 0.335
H27 0.700 0.832 0.016
H28 0.710 0.088 0.094
H29 0.743 0.413 0.614
H30 0.762 0.636 0.208
H31 0.861 0.089 0.539
H32 0.870 0.978 0.370
H33 0.904 0.835 0.306
H34 0.912 0.245 0.443
H35 0.955 0.028 0.764
H36 0.964 0.703 0.652
H37 0.977 0.401 0.682
H38 0.979 0.699 0.183
O1 0.012 0.679 0.574
O2 0.034 0.073 0.663
O3 0.095 0.315 0.751
O4 0.107 0.547 0.365
O5 0.119 0.255 0.232
O6 0.120 0.751 0.096
O7 0.124 0.998 0.172
O8 0.165 0.620 0.872
O9 0.195 0.893 0.960
O10 0.198 0.155 0.037
O11 0.200 0.897 0.545
O12 0.207 0.413 0.073
O13 0.279 0.512 0.589
O14 0.400 0.166 0.389
O15 0.405 0.877 0.305
O16 0.463 0.186 0.909
O17 0.470 0.696 0.765
O18 0.488 0.395 0.829
O19 0.491 0.648 0.401
O20 0.492 0.053 0.166
O21 0.508 0.947 0.834
O22 0.509 0.352 0.599
O23 0.512 0.605 0.171
O24 0.530 0.304 0.235
O25 0.537 0.814 0.091
O26 0.595 0.123 0.695
O27 0.600 0.834 0.611
O28 0.721 0.488 0.411
O29 0.793 0.587 0.927
O30 0.800 0.103 0.455
O31 0.802 0.845 0.963
O32 0.805 0.107 0.040
O33 0.835 0.380 0.128
O34 0.876 0.002 0.828
O35 0.880 0.249 0.904
O36 0.881 0.745 0.768
O37 0.893 0.453 0.635
O38 0.905 0.685 0.249
O39 0.966 0.927 0.337
O40 0.988 0.321 0.426


Record 5
# Cr2GaHOs | Alexandria via LeMat-Bulk | PBEsol | relaxed
# crystal system = tetragonal
# DOS(E_F) = 3.93 states/eV per cell
# calculated volume = 12.3 Å³/atom
# density = 9.8 g cm⁻³
# DFT total energy = -33.44 eV for the cell shown
data_Cr2GaHOs
_chemical_formula_sum 'Cr2 Ga1 H1 Os1'
_cell_length_a 4.563
_cell_length_b 4.563
_cell_length_c 2.955
_cell_angle_alpha 90.00
_cell_angle_beta 90.00
_cell_angle_gamma 90.00
_symmetry_space_group_name_H-M 'P 1'
_symmetry_Int_Tables_number 1
loop_
_symmetry_equiv_pos_as_xyz
'x,y,z'
loop_
_atom_site_label
_atom_site_fract_x
_atom_site_fract_y
_atom_site_fract_z
Cr1 0.000 0.500 0.000
Cr2 0.500 0.000 0.000
Ga1 0.000 0.000 0.000
H1 0.000 0.000 0.500
Os1 0.500 0.500 0.500


Record 6
# Cr3GaHg | Alexandria via LeMat-Bulk | PBEsol | relaxed
# crystal system = cubic
# DOS(E_F) = 6.83 states/eV per cell
# energy relative to the elements = 1.7105 eV/atom
# calculated volume = 25.8 Å³/atom
# density = 5.5 g cm⁻³
data_Cr3GaHg
_chemical_formula_sum 'Cr3 Ga1 Hg1'
_cell_length_a 5.052
_cell_length_b 5.052
_cell_length_c 5.052
_cell_angle_alpha 90.00
_cell_angle_beta 90.00
_cell_angle_gamma 90.00
_symmetry_space_group_name_H-M 'P 1'
_symmetry_Int_Tables_number 1
loop_
_symmetry_equiv_pos_as_xyz
'x,y,z'
loop_
_atom_site_label
_atom_site_fract_x
_atom_site_fract_y
_atom_site_fract_z
Cr1 0.000 0.000 0.500
Cr2 0.000 0.500 0.000
Cr3 0.500 0.000 0.000
Ga1 0.500 0.500 0.500
Hg1 0.000 0.000 0.000